Record 1
Computed, not measured: crystalline NbAsPPd2 at its relaxed geometry at the PBE-GGA level of DFT.

Output
N(E_F) (states/eV per cell): 4.27
Formation energy (meV per atom): 528

Lattice parameters (Å, degrees): 4.546 4.913 4.546 90.00 90.00 90.00
Sites, in units of the cell vectors:
P 0.500 0.500 0.500
Nb 0.000 0.500 0.000
As 0.000 0.000 0.000
Pd 0.000 0.000 0.500
Pd 0.500 0.000 0.000


Record 2
Computed, not measured: crystalline PrSmGeH at its relaxed geometry at the PBE-GGA level of DFT.

Output
N(E_F) (states/eV per cell): 5.67

Lattice parameters (Å, degrees): 4.409 4.409 8.783 90.00 90.00 90.00
Site moments in Bohr magnetons follow the coordinates.
Sites, in units of the cell vectors:
Pr 0.000 0.500 0.877  0.05
Pr 0.500 0.000 0.123  0.05
Sm 0.000 0.000 0.500  0.16
Sm 0.500 0.500 0.500  0.16
Ge 0.500 0.000 0.742  0.00
Ge 0.000 0.500 0.258  0.00
H 0.500 0.500 0.000  0.00
H 0.000 0.000 0.000  0.00


Record 3
Computed, not measured: crystalline Ti3Cu2SnP6O24 at its relaxed geometry at the PBE-GGA level of DFT.

Output
ΔE_f (raw) (kJ/mol of atoms): -213.6

Lattice parameters (Å, degrees): 8.680 8.680 8.695 60.06 60.06 60.00
Site moments in Bohr magnetons follow the coordinates.
Sites, in units of the cell vectors:
Ti 0.141 0.141 0.576  0.01
Ti 0.357 0.357 0.928  0.00
Ti 0.641 0.641 0.076  -0.01
Cu 0.007 0.007 0.980  -0.12
Cu 0.499 0.499 0.503  0.10
Sn 0.859 0.859 0.424  0.00
P 0.458 0.041 0.753  0.00
P 0.536 0.960 0.251  0.00
P 0.960 0.253 0.251  0.00
P 0.253 0.536 0.251  0.00
P 0.748 0.458 0.753  0.00
P 0.041 0.748 0.753  0.00
O 0.315 0.491 0.075  0.00
O 0.491 0.120 0.075  0.00
O 0.920 0.273 0.756  0.00
O 0.120 0.315 0.075  0.00
O 0.793 0.619 0.569  0.00
O 0.587 0.427 0.754  0.00
O 0.052 0.920 0.756  0.00
O 0.232 0.587 0.754  0.00
O 0.376 0.999 0.430  0.00
O 0.427 0.232 0.754  0.00
O 0.727 0.953 0.234  0.00
O 0.999 0.195 0.430  0.00
O 0.020 0.793 0.569  0.00
O 0.273 0.052 0.756  0.00
O 0.560 0.768 0.257  0.00
O 0.619 0.020 0.569  0.00
O 0.768 0.415 0.257  0.00
O 0.953 0.086 0.234  0.00
O 0.415 0.560 0.257  0.00
O 0.195 0.376 0.430  0.00
O 0.875 0.695 0.926  0.00
O 0.086 0.727 0.234  0.00
O 0.504 0.875 0.926  0.00
O 0.695 0.504 0.926  0.00


It is found that the E_tot values, taken in the order of the records, are -5.57 -4.96 -7.42 eV per atom.